No. 1
Computed, not measured: crystalline Ho3CdIn2 at its relaxed geometry at the PBE level of DFT.

## Properties
The value obtained for the excess energy over the best structure of this formula in the dataset is 6.9 meV/atom. The formation energy is -0.414 eV/atom.

Cell lengths 3.715, 3.715, 11.356 Å; angles 90.00, 90.00, 90.00 degrees
Space group P4/mmm (No. 123)
Inequivalent atoms, fractional coordinates:
Ho 0.000 0.000 0.000 (multiplicity 1)
Ho 0.000 0.000 0.338 (multiplicity 2)
Cd 0.500 0.500 0.500 (multiplicity 1)
In 0.500 0.500 0.171 (multiplicity 2)

***

No. 2
Computed, not measured: crystalline Ho3Cd2In at its relaxed geometry at the PBE level of DFT.

## Properties
The value obtained for the excess energy over the best structure of this formula in the dataset is 0.0 meV/atom. The formation energy is -0.371 eV/atom.

Cell lengths 5.282, 15.876, 3.724 Å; angles 90.00, 90.00, 90.00 degrees
Space group Cmmm (No. 65)
Inequivalent atoms, fractional coordinates:
Ho 0.000 0.000 0.000 (multiplicity 2)
Ho 0.000 0.333 0.000 (multiplicity 4)
Cd 0.000 0.169 0.500 (multiplicity 4)
In 0.000 0.500 0.500 (multiplicity 2)

***

No. 3
Computed, not measured: crystalline HoCd3In at its relaxed geometry at the PBE level of DFT.

## Properties
The formation energy is -0.143 eV/atom.

Cell lengths 5.006, 6.172, 8.480 Å; angles 85.78, 80.18, 74.71 degrees
Space group P-1 (No. 2)
Inequivalent atoms, fractional coordinates:
Ho 0.146 0.219 0.130 (multiplicity 2)
Cd 0.000 0.000 0.500 (multiplicity 1)
Cd 0.000 0.500 0.500 (multiplicity 1)
Cd 0.287 0.154 0.752 (multiplicity 2)
Cd 0.314 0.690 0.105 (multiplicity 2)
In 0.439 0.664 0.651 (multiplicity 2)

***

The following final energy values (in eV per atom) correspond, in order, to the records above: -3.7684 -3.4218 -2.1555.